# 1
This record from the Alexandria database describes a relaxed structure of Pr3Nd3ErSe8. The functional is GGA-PBE.

a = 8.461 Å, b = 8.461 Å, c = 8.461 Å
α = 59.86°, β = 59.86°, γ = 59.86°
Element x y z (fractional)
Pr (0.000, 0.500, 0.500)
Pr (0.500, 0.000, 0.500)
Pr (0.500, 0.500, 0.000)
Nd (0.000, 0.000, 0.500)
Nd (0.000, 0.500, 0.000)
Nd (0.500, 0.000, 0.000)
Er (0.500, 0.500, 0.500)
Se (0.249, 0.249, 0.249)
Se (0.255, 0.743, 0.743)
Se (0.257, 0.257, 0.745)
Se (0.257, 0.745, 0.257)
Se (0.743, 0.255, 0.743)
Se (0.743, 0.743, 0.255)
Se (0.745, 0.257, 0.257)
Se (0.751, 0.751, 0.751)

Results
Raw total energy   -5.94 eV/atom
Symmetry   No. 166
E_form (uncorrected)   -1871.3 meV/atom
Theoretical density   6.4 Mg/m³

***

# 2
This record from the Alexandria database describes a relaxed structure of Pr4NdErSe8. The functional is GGA-PBE.

a = 8.691 Å, b = 8.691 Å, c = 8.691 Å
α = 60.05°, β = 60.05°, γ = 60.05°
Element x y z (fractional)
Pr (0.000, 0.000, 0.000)
Pr (0.378, 0.378, 0.867)
Pr (0.378, 0.867, 0.378)
Pr (0.867, 0.378, 0.378)
Nd (0.378, 0.378, 0.378)
Er (0.750, 0.750, 0.750)
Se (0.132, 0.622, 0.622)
Se (0.134, 0.134, 0.134)
Se (0.135, 0.135, 0.599)
Se (0.135, 0.599, 0.135)
Se (0.599, 0.135, 0.135)
Se (0.622, 0.132, 0.622)
Se (0.622, 0.622, 0.132)
Se (0.623, 0.623, 0.623)

Results
Raw total energy   -5.75 eV/atom
Symmetry   No. 160
E_form (uncorrected)   -1722.8 meV/atom
Theoretical density   5.4 Mg/m³

***

# 3
This record from the Alexandria database describes a relaxed structure of PrNd3Er2Se6. The functional is GGA-PBE.

a = 7.211 Å, b = 7.211 Å, c = 7.271 Å
α = 99.48°, β = 99.48°, γ = 120.20°
Element x y z (fractional)
Pr (0.000, 0.000, 0.000)
Nd (0.158, 0.842, 0.500)
Nd (0.500, 0.500, 0.500)
Nd (0.842, 0.158, 0.500)
Er (0.334, 0.666, 0.000)
Er (0.666, 0.334, 0.000)
Se (0.080, 0.427, 0.241)
Se (0.269, 0.269, 0.766)
Se (0.427, 0.080, 0.241)
Se (0.573, 0.920, 0.759)
Se (0.731, 0.731, 0.234)
Se (0.920, 0.573, 0.759)

Results
Raw total energy   -5.89 eV/atom
Symmetry   No. 12
E_form (uncorrected)   -1795.0 meV/atom
Theoretical density   7.4 Mg/m³

***

# 4
This record from the Alexandria database describes a relaxed structure of PrNd2ErSe5. The functional is GGA-PBE.

a = 5.106 Å, b = 5.106 Å, c = 11.028 Å
α = 90.00°, β = 90.00°, γ = 90.00°
Element x y z (fractional)
Pr (0.000, 0.000, 0.000)
Nd (0.500, 0.500, 0.330)
Nd (0.500, 0.500, 0.670)
Er (0.000, 0.000, 0.500)
Se (0.000, 0.000, 0.252)
Se (0.000, 0.000, 0.748)
Se (0.000, 0.500, 0.500)
Se (0.500, 0.000, 0.500)
Se (0.500, 0.500, 0.000)

Results
Raw total energy   -5.35 eV/atom
Symmetry   No. 123
E_form (uncorrected)   -1312.2 meV/atom
Theoretical density   5.7 Mg/m³

***

# 5
This record from the Alexandria database describes a relaxed structure of PrNd2Er3Se6. The functional is GGA-PBE.

a = 9.334 Å, b = 9.334 Å, c = 8.426 Å
α = 105.25°, β = 105.25°, γ = 25.22°
Element x y z (fractional)
Pr (0.000, 0.000, 0.000)
Nd (0.333, 0.333, 0.667)
Nd (0.667, 0.667, 0.333)
Er (0.000, 0.000, 0.500)
Er (0.334, 0.334, 0.167)
Er (0.666, 0.666, 0.833)
Se (0.163, 0.163, 0.594)
Se (0.172, 0.172, 0.073)
Se (0.496, 0.496, 0.262)
Se (0.504, 0.504, 0.738)
Se (0.828, 0.828, 0.927)
Se (0.837, 0.837, 0.406)

Results
Raw total energy   -5.85 eV/atom
Symmetry   No. 12
E_form (uncorrected)   -1777.1 meV/atom
Theoretical density   7.7 Mg/m³

***

# 6
This record from the Alexandria database describes a relaxed structure of PrNd2Sm2Er2. The functional is GGA-PBE.

a = 6.251 Å, b = 6.251 Å, c = 8.128 Å
α = 97.44°, β = 97.44°, γ = 48.36°
Element x y z (fractional)
Pr (0.000, 0.000, 0.000)
Nd (0.428, 0.428, 0.284)
Nd (0.572, 0.572, 0.716)
Sm (0.144, 0.144, 0.430)
Sm (0.856, 0.856, 0.570)
Er (0.285, 0.285, 0.857)
Er (0.715, 0.715, 0.143)

Results
Raw total energy   -4.68 eV/atom
Symmetry   No. 12
Theoretical density   7.5 Mg/m³
DFT formation energy   17 meV per atom

***

# 7
This record from the Alexandria database describes a relaxed structure of Pr2Nd4SmEr. The functional is GGA-PBE.

a = 5.169 Å, b = 5.185 Å, c = 10.353 Å
α = 90.00°, β = 90.11°, γ = 90.00°
Element x y z (fractional)
Pr (0.000, 0.000, 0.000)
Pr (0.500, 0.500, 0.500)
Nd (0.000, 0.500, 0.248)
Nd (0.000, 0.500, 0.752)
Nd (0.500, 0.000, 0.249)
Nd (0.500, 0.000, 0.751)
Sm (0.000, 0.000, 0.500)
Er (0.500, 0.500, 0.000)

Results
Raw total energy   -4.73 eV/atom
Symmetry   No. 10
Theoretical density   7.0 Mg/m³
DFT formation energy   13 meV per atom

***

# 8
This record from the Alexandria database describes a relaxed structure of Pr5Nd2SmEr. The functional is GGA-PBE.

a = 10.359 Å, b = 10.359 Å, c = 10.359 Å
α = 129.72°, β = 129.72°, γ = 73.85°
Element x y z (fractional)
Pr (0.000, 0.000, 0.000)
Pr (0.073, 0.573, 0.929)
Pr (0.143, 0.073, 0.500)
Pr (0.357, 0.857, 0.929)
Pr (0.427, 0.357, 0.500)
Pr (0.500, 0.500, 0.000)
Pr (0.573, 0.643, 0.500)
Pr (0.643, 0.143, 0.071)
Pr (0.857, 0.927, 0.500)
Pr (0.927, 0.427, 0.071)
Nd (0.120, 0.380, 0.500)
Nd (0.380, 0.880, 0.261)
Nd (0.620, 0.120, 0.739)
Nd (0.880, 0.620, 0.500)
Sm (0.250, 0.250, 0.000)
Sm (0.750, 0.750, 0.000)
Er (0.250, 0.750, 0.500)
Er (0.750, 0.250, 0.500)

Results
Raw total energy   -4.47 eV/atom
Symmetry   No. 140
Theoretical density   6.8 Mg/m³
DFT formation energy   274 meV per atom

***

# 9
This record from the Alexandria database describes a relaxed structure of Pr4Nd2SmEr2. The functional is GGA-PBE.

a = 8.182 Å, b = 8.182 Å, c = 8.141 Å
α = 107.58°, β = 107.58°, γ = 36.87°
Element x y z (fractional)
Pr (0.055, 0.055, 0.330)
Pr (0.278, 0.278, 0.671)
Pr (0.722, 0.722, 0.329)
Pr (0.945, 0.945, 0.670)
Nd (0.388, 0.388, 0.330)
Nd (0.612, 0.612, 0.670)
Sm (0.500, 0.500, 0.000)
Er (0.168, 0.168, 0.000)
Er (0.832, 0.832, 0.000)

Results
Raw total energy   -4.70 eV/atom
Symmetry   No. 12
Theoretical density   7.2 Mg/m³
DFT formation energy   20 meV per atom

***

# 10
This record from the Alexandria database describes a relaxed structure of PrNd6SmEr2. The functional is GGA-PBE.

a = 8.964 Å, b = 8.964 Å, c = 9.764 Å
α = 93.97°, β = 93.97°, γ = 117.14°
Element x y z (fractional)
Pr (0.094, 0.906, 0.750)
Pr (0.906, 0.094, 0.250)
Nd (0.013, 0.796, 0.381)
Nd (0.064, 0.516, 0.182)
Nd (0.204, 0.987, 0.119)
Nd (0.259, 0.609, 0.556)
Nd (0.391, 0.741, 0.944)
Nd (0.484, 0.936, 0.318)
Nd (0.516, 0.064, 0.682)
Nd (0.609, 0.259, 0.056)
Nd (0.741, 0.391, 0.444)
Nd (0.796, 0.013, 0.881)
Nd (0.936, 0.484, 0.818)
Nd (0.987, 0.204, 0.619)
Sm (0.469, 0.531, 0.250)
Sm (0.531, 0.469, 0.750)
Er (0.207, 0.303, 0.952)
Er (0.303, 0.207, 0.452)
Er (0.697, 0.793, 0.548)
Er (0.793, 0.697, 0.048)

Results
Raw total energy   -4.61 eV/atom
Symmetry   No. 15
Theoretical density   7.2 Mg/m³
DFT formation energy   113 meV per atom

***

# 11
This record from the Alexandria database describes a relaxed structure of Pr2NdSm6Er. The functional is GGA-PBE.

a = 8.930 Å, b = 8.930 Å, c = 9.876 Å
α = 94.41°, β = 94.41°, γ = 117.93°
Element x y z (fractional)
Pr (0.196, 0.297, 0.042)
Pr (0.297, 0.196, 0.542)
Pr (0.703, 0.804, 0.458)
Pr (0.804, 0.703, 0.958)
Nd (0.018, 0.982, 0.250)
Nd (0.982, 0.018, 0.750)
Sm (0.017, 0.573, 0.188)
Sm (0.122, 0.745, 0.556)
Sm (0.255, 0.878, 0.944)
Sm (0.295, 0.506, 0.381)
Sm (0.427, 0.983, 0.312)
Sm (0.494, 0.705, 0.119)
Sm (0.506, 0.295, 0.881)
Sm (0.573, 0.017, 0.688)
Sm (0.705, 0.494, 0.619)
Sm (0.745, 0.122, 0.056)
Sm (0.878, 0.255, 0.444)
Sm (0.983, 0.427, 0.812)
Er (0.408, 0.592, 0.750)
Er (0.592, 0.408, 0.250)

Results
Raw total energy   -4.61 eV/atom
Symmetry   No. 15
Theoretical density   7.2 Mg/m³
DFT formation energy   114 meV per atom

***

# 12
This record from the Alexandria database describes a relaxed structure of Pr2NdSmEr2. The functional is GGA-PBE.

a = 7.086 Å, b = 9.934 Å, c = 5.738 Å
α = 90.00°, β = 90.00°, γ = 90.00°
Element x y z (fractional)
Pr (0.249, 0.167, 0.000)
Pr (0.251, 0.667, 0.500)
Pr (0.749, 0.333, 0.500)
Pr (0.751, 0.833, 0.000)
Nd (0.000, 0.500, 0.000)
Nd (0.500, 0.000, 0.500)
Sm (0.000, 0.000, 0.500)
Sm (0.500, 0.500, 0.000)
Er (0.250, 0.333, 0.500)
Er (0.250, 0.833, 0.000)
Er (0.750, 0.167, 0.000)
Er (0.750, 0.667, 0.500)

Results
Raw total energy   -4.63 eV/atom
Symmetry   No. 58
Theoretical density   7.5 Mg/m³
DFT formation energy   67 meV per atom

***

Please write out number 6 again, unchanged.
This record from the Alexandria database describes a relaxed structure of PrNd2Sm2Er2. The functional is GGA-PBE.

a = 6.251 Å, b = 6.251 Å, c = 8.128 Å
α = 97.44°, β = 97.44°, γ = 48.36°
Element x y z (fractional)
Pr (0.000, 0.000, 0.000)
Nd (0.428, 0.428, 0.284)
Nd (0.572, 0.572, 0.716)
Sm (0.144, 0.144, 0.430)
Sm (0.856, 0.856, 0.570)
Er (0.285, 0.285, 0.857)
Er (0.715, 0.715, 0.143)

Results
Raw total energy   -4.68 eV/atom
Symmetry   No. 12
Theoretical density   7.5 Mg/m³
DFT formation energy   17 meV per atom

***

Please write out number 10 again, unchanged.
This record from the Alexandria database describes a relaxed structure of PrNd6SmEr2. The functional is GGA-PBE.

a = 8.964 Å, b = 8.964 Å, c = 9.764 Å
α = 93.97°, β = 93.97°, γ = 117.14°
Element x y z (fractional)
Pr (0.094, 0.906, 0.750)
Pr (0.906, 0.094, 0.250)
Nd (0.013, 0.796, 0.381)
Nd (0.064, 0.516, 0.182)
Nd (0.204, 0.987, 0.119)
Nd (0.259, 0.609, 0.556)
Nd (0.391, 0.741, 0.944)
Nd (0.484, 0.936, 0.318)
Nd (0.516, 0.064, 0.682)
Nd (0.609, 0.259, 0.056)
Nd (0.741, 0.391, 0.444)
Nd (0.796, 0.013, 0.881)
Nd (0.936, 0.484, 0.818)
Nd (0.987, 0.204, 0.619)
Sm (0.469, 0.531, 0.250)
Sm (0.531, 0.469, 0.750)
Er (0.207, 0.303, 0.952)
Er (0.303, 0.207, 0.452)
Er (0.697, 0.793, 0.548)
Er (0.793, 0.697, 0.048)

Results
Raw total energy   -4.61 eV/atom
Symmetry   No. 15
Theoretical density   7.2 Mg/m³
DFT formation energy   113 meV per atom